1.
Here is crystalline NaAc2Ge3Au4 at its relaxed geometry from the Alexandria database. Energies are from PBE.

As for the formation energy: -0.57 eV/atom. The value obtained for the density of states at the Fermi level is 0.534 states/eV/atom.

It has space group P-4m2 (No. 115), with a = 4.5953 Å, b = 4.5953 Å, c = 10.9411 Å, α = 90.00°, β = 90.00° and γ = 90.00°. The distinct sites, in fractional coordinates, are Na at (0.0000, 0.0000, 0.0000), Ac at (0.0000, 0.5000, 0.7344), Ge at (0.0000, 0.5000, 0.3704), Ge at (0.5000, 0.5000, 0.0000), Au at (0.0000, 0.0000, 0.5000), Au at (0.0000, 0.5000, 0.1368) and Au at (0.5000, 0.5000, 0.5000).

2.
Here is crystalline Ac2NdGe3Au12 at its relaxed geometry from the Alexandria database. Energies are from PBE.

As for the formation energy: -0.19 eV/atom. The value obtained for the density of states at the Fermi level is 0.422 states/eV/atom.

It has space group R-3m (No. 166, hexagonal axes), with a = 9.1383 Å, b = 9.1383 Å, c = 19.5181 Å, α = 90.00°, β = 90.00° and γ = 120.00°. The distinct sites, in fractional coordinates, are Ac at (0.0000, 0.0000, 0.1017), Nd at (0.0000, 0.0000, 0.5000), Ge at (0.0000, 0.5000, 0.0000), Au at (0.0180, 0.5090, 0.3247) and Au at (0.0288, 0.5144, 0.8677).

3.
Here is crystalline Ac2NiGeAu6 at its relaxed geometry from the Alexandria database. Energies are from PBE.

As for the formation energy: -0.46 eV/atom. The value obtained for the density of states at the Fermi level is 0.427 states/eV/atom.

It has space group P-1 (No. 2), with a = 5.6423 Å, b = 6.9550 Å, c = 7.1428 Å, α = 77.50°, β = 66.77° and γ = 66.15°. The distinct sites, in fractional coordinates, are Ac at (0.2418, 0.2270, 0.2888), Ni at (0.5000, 0.5000, 0.5000), Ge at (0.0000, 0.0000, 0.0000), Au at (0.2378, 0.7588, 0.2655), Au at (0.2587, 0.5981, 0.8854) and Au at (0.2639, 0.2402, 0.7351).

4.
Here is crystalline Ac2Ni4Ge3Au at its relaxed geometry from the Alexandria database. Energies are from PBE.

As for the formation energy: -0.55 eV/atom. The value obtained for the density of states at the Fermi level is 0.704 states/eV/atom.

It has space group P-4m2 (No. 115), with a = 4.3438 Å, b = 4.3438 Å, c = 9.9441 Å, α = 90.00°, β = 90.00° and γ = 90.00°. The distinct sites, in fractional coordinates, are Ac at (0.0000, 0.5000, 0.2472), Ni at (0.0000, 0.0000, 0.0000), Ni at (0.0000, 0.5000, 0.6399), Ni at (0.5000, 0.5000, 0.0000), Ge at (0.0000, 0.5000, 0.8839), Ge at (0.5000, 0.5000, 0.5000) and Au at (0.0000, 0.0000, 0.5000).

5.
Here is crystalline Ac2NiGe4Au3 at its relaxed geometry from the Alexandria database. Energies are from PBE.

As for the formation energy: -0.58 eV/atom. The value obtained for the density of states at the Fermi level is 0.613 states/eV/atom.

It has space group P-4m2 (No. 115), with a = 4.4995 Å, b = 4.4995 Å, c = 10.7054 Å, α = 90.00°, β = 90.00° and γ = 90.00°. The distinct sites, in fractional coordinates, are Ac at (0.0000, 0.5000, 0.2397), Ni at (0.5000, 0.5000, 0.0000), Ge at (0.0000, 0.0000, 0.5000), Ge at (0.0000, 0.5000, 0.8805), Ge at (0.5000, 0.5000, 0.5000), Au at (0.0000, 0.0000, 0.0000) and Au at (0.0000, 0.5000, 0.6367).

6.
Here is crystalline Ac2Ni3Ge4Au at its relaxed geometry from the Alexandria database. Energies are from PBE.

As for the formation energy: -0.61 eV/atom. The value obtained for the density of states at the Fermi level is 0.708 states/eV/atom.

It has space group P-4m2 (No. 115), with a = 4.3752 Å, b = 4.3752 Å, c = 10.0862 Å, α = 90.00°, β = 90.00° and γ = 90.00°. The distinct sites, in fractional coordinates, are Ac at (0.0000, 0.5000, 0.2452), Ni at (0.0000, 0.5000, 0.8847), Ni at (0.5000, 0.5000, 0.5000), Ge at (0.0000, 0.0000, 0.0000), Ge at (0.0000, 0.5000, 0.6408), Ge at (0.5000, 0.5000, 0.0000) and Au at (0.0000, 0.0000, 0.5000).

Summary of raw total energy in eV per cell
-42.17 -208.80 -42.92 -54.01 -48.07 -53.40
(order as listed above)